[1]
Below is a relaxed Th2MgTlIr crystal, with properties calculated at the PBE-GGA level.

volume	142.8	Å³/f.u.
DOS at the Fermi energy	3.53	states/eV/f.u.
uncorrected energy	-59.33	eV/cell

The structure in CIF format:
```
data_Th2MgTlIr
_chemical_formula_sum 'Th4 Mg2 Tl2 Ir2'
_cell_length_a 8.393
_cell_length_b 4.034
_cell_length_c 8.765
_cell_angle_alpha 90.00
_cell_angle_beta 105.73
_cell_angle_gamma 90.00
_space_group_name_H-M_alt 'P 1 21/m 1'
_space_group_IT_number 11
loop_
_space_group_symop_operation_xyz
'x,y,z'
'-x,-y,-z'
'-x,y+1/2,-z'
'x,-y+1/2,z'
loop_
_atom_site_label
_atom_site_fract_x
_atom_site_fract_y
_atom_site_fract_z
_atom_site_occupancy
Th1 0.116 0.250 0.395 1
Th2 0.219 0.250 0.998 1
Mg1 0.454 0.750 0.350 1
Tl1 0.316 0.750 0.721 1
Ir1 0.137 0.750 0.188 1
```

=====

[2]
Below is a relaxed Ho2ScP3Ir12 crystal, with properties calculated at the PBE-GGA level.

volume	298.2	Å³/f.u.
DOS at the Fermi energy	9.04	states/eV/f.u.
uncorrected energy	-425.14	eV/cell

The structure in CIF format:
```
data_Ho2ScP3Ir12
_chemical_formula_sum 'Ho6 Sc3 P9 Ir36'
_cell_length_a 8.9620
_cell_length_b 8.9620
_cell_length_c 12.8626
_cell_angle_alpha 90.00
_cell_angle_beta 90.00
_cell_angle_gamma 120.00
_space_group_name_H-M_alt 'R -3 m'
_space_group_IT_number 166
_space_group_name_Hall '-R 3 2"'
loop_
_atom_site_label
_atom_site_fract_x
_atom_site_fract_y
_atom_site_fract_z
_atom_site_occupancy
Ho1 0.0000 0.0000 0.1287 1
Sc1 0.0000 0.0000 0.5000 1
P1 0.0000 0.5000 0.0000 1
Ir1 0.0040 0.5020 0.8257 1
Ir2 0.0142 0.5071 0.3822 1
```